Density functional theory data (GGA-PBE) for a relaxed structure of NaTmCd6.

- Space-group type: P-6m2, No. 187
- Total magnetic moment: 0.00 Bohr magnetons per cell
- Formation enthalpy at 0 K: -1.3 eV per formula unit
- DOS(E_F): 3.28 states/eV/cell

Cell lengths 5.0359, 6.5460, 6.5460 Å; angles 120.06, 90.00, 90.00 degrees
Closest atoms and distances in Å follow each position.
Fractional coordinates of all 8 atoms:
Cd1 0.0000 0.5867 0.9239  8 Cd 3.13-3.34, 2 Na 3.17, 2 Tm 3.27
Cd2 0.5000 0.4208 0.0853  8 Cd 3.13-3.31, 2 Tm 3.16, 2 Na 3.27
Cd3 0.0000 0.0761 0.4133  8 Cd 3.13-3.34, 2 Na 3.17, 2 Tm 3.27
Cd4 0.5000 0.9147 0.5792  8 Cd 3.13-3.31, 2 Tm 3.16, 2 Na 3.27
Cd5 0.5000 0.9147 0.0853  8 Cd 3.13-3.31, 2 Tm 3.16, 2 Na 3.27
Cd6 0.0000 0.5867 0.4133  8 Cd 3.13-3.34, 2 Na 3.17, 2 Tm 3.27
Tm1 0.0000 0.0832 0.9168  12 Cd 3.16-3.27
Na1 0.5000 0.4167 0.5833  12 Cd 3.17-3.27